## CaRuPt2 (PBE)

Data for a relaxed structure of CaRuPt2.

a = 4.850 Å, b = 4.850 Å, c = 9.127 Å
α = 74.59°, β = 74.59°, γ = 90.00°
Last column: magnetic moment on the atom in μB.
Atoms (fractional coordinates):
Ru  0.750  0.250  0.500  0.31
Ru  0.000  0.000  0.000  0.30
Pt  0.794  0.125  0.250  0.04
Pt  0.875  0.044  0.750  0.03
Pt  0.956  0.625  0.250  0.03
Pt  0.375  0.206  0.750  0.02
Ca  0.250  0.750  0.500  0.00
Ca  0.500  0.500  0.000  0.00

Properties
Fermi-level density of states: 3.776 states/eV/f.u.
Energy relative to the elements: 182 meV per atom
E_tot: -5.66 eV per atom

---

## Ti3OsI (PBE)

Data for a relaxed structure of Ti3OsI.

a = 4.840 Å, b = 4.840 Å, c = 4.840 Å
α = 90.00°, β = 90.00°, γ = 90.00°
Atoms (fractional coordinates):
Ti  0.500  0.000  0.000
Ti  0.000  0.500  0.000
Ti  0.000  0.000  0.500
I  0.500  0.500  0.500
Os  0.000  0.000  0.000

Properties
Fermi-level density of states: 4.276 states/eV/f.u.
Uncorrected formation energy: 0.421 eV/atom
E_tot: -6.87 eV per atom

---

## MnRh3 (PBE)

Data for a relaxed structure of MnRh3.

a = 4.877 Å, b = 4.877 Å, c = 4.877 Å
α = 90.00°, β = 90.00°, γ = 90.00°
Last column: magnetic moment on the atom in μB.
Atoms (fractional coordinates):
Rh  0.250  0.500  0.000  -0.27
Rh  0.500  0.000  0.250  -0.27
Rh  0.500  0.000  0.750  -0.27
Rh  0.750  0.500  0.000  -0.27
Rh  0.000  0.750  0.500  -0.27
Rh  0.000  0.250  0.500  -0.27
Mn  0.500  0.500  0.500  3.40
Mn  0.000  0.000  0.000  3.40

Properties
Fermi-level density of states: 7.240 states/eV/f.u.
Energy relative to the elements: 172 meV per atom
E_tot: -7.63 eV per atom

---

## TbZrPa (PBE)

Data for a relaxed structure of TbZrPa.

a = 3.220 Å, b = 3.220 Å, c = 7.948 Å
α = 101.69°, β = 101.69°, γ = 90.00°
Atoms (fractional coordinates):
Tb  0.283  0.283  0.566
Zr  0.611  0.611  0.222
Pa  0.956  0.956  0.913

Properties
Fermi-level density of states: 5.687 states/eV/f.u.
Energy relative to the elements: 166 meV per atom
E_tot: -7.39 eV per atom